Record 1
The following is a DFT calculation (GGA-PBE) of a geometry-optimized CaAcPrTh structure.

- calculated formation energy (eV per atom) = 0.228
- crystal system = cubic

Cell lengths 8.475, 8.475, 8.475 Å; angles 90.00, 90.00, 90.00 degrees
Space group F-43m (No. 216)
Asymmetric unit:
Ca (0.000, 0.000, 0.000) [4 per cell]
Ac (0.250, 0.250, 0.750) [4 per cell]
Pr (0.250, 0.250, 0.250) [4 per cell]
Th (0.000, 0.000, 0.500) [4 per cell]

Record 2
The following is a DFT calculation (GGA-PBE) of a geometry-optimized CaAcPr2Tl4 structure.

- calculated formation energy (eV per atom) = -0.378
- crystal system = trigonal

Cell lengths 5.6028, 5.6028, 27.9855 Å; angles 90.00, 90.00, 120.00 degrees
Space group R-3m (No. 166, hexagonal axes)
Asymmetric unit:
Ca (0.0000, 0.0000, 0.0000) [3 per cell]
Ac (0.0000, 0.0000, 0.5000) [3 per cell]
Pr (0.0000, 0.0000, 0.2555) [6 per cell]
Tl (0.0000, 0.0000, 0.1230) [6 per cell]
Tl (0.0000, 0.0000, 0.3741) [6 per cell]

Record 3
The following is a DFT calculation (GGA-PBE) of a geometry-optimized CaAc2PrTl4 structure.

- calculated formation energy (eV per atom) = -0.386
- crystal system = trigonal

Cell lengths 5.6888, 5.6888, 28.1777 Å; angles 90.00, 90.00, 120.00 degrees
Space group R-3m (No. 166, hexagonal axes)
Asymmetric unit:
Ca (0.0000, 0.0000, 0.0000) [3 per cell]
Ac (0.0000, 0.0000, 0.2541) [6 per cell]
Pr (0.0000, 0.0000, 0.5000) [3 per cell]
Tl (0.0000, 0.0000, 0.1266) [6 per cell]
Tl (0.0000, 0.0000, 0.3766) [6 per cell]

> Number 3 is which compound?

CaAc2PrTl4

> Look up the calculated formation energy of the third one.

-0.386 eV per atom

> The highest calculated formation energy belongs to which entry?

CaAcPrTh

> Which of these has the lowest calculated formation energy?

CaAc2PrTl4